(1)
NiAgSb4 after structural relaxation, computed with PBE.

Summary:
E_form (uncorrected)	757	meV/atom
space group	F-43m (216)

Unit cell a=6.119 b=6.119 c=6.119 alpha=60.00 beta=60.00 gamma=60.00
Each line ends with the local moment (μB).
Element x y z (fractional)
Sb 0.375 0.375 0.375  0.02
Sb 0.375 0.375 0.875  0.02
Sb 0.875 0.375 0.375  0.02
Sb 0.375 0.875 0.375  0.02
Ag 0.750 0.750 0.750  0.00
Ni 0.000 0.000 0.000  0.62

(2)
Ce4Tc2Pb after structural relaxation, computed with PBE.

Summary:
E_tot	-7.016	eV/atom
space group	P1 (1)

Unit cell a=6.211 b=7.304 c=9.312 alpha=115.23 beta=108.03 gamma=96.31
Each line ends with the local moment (μB).
Element x y z (fractional)
Ce 0.909 0.599 0.655  0.21
Ce 0.871 0.220 0.327  0.08
Ce 0.489 0.134 0.873  0.20
Ce 0.862 0.982 0.599  0.27
Ce 0.549 0.711 0.883  0.07
Ce 0.354 0.143 0.439  0.06
Ce 0.737 0.610 0.214  0.10
Ce 0.150 0.548 0.056  0.07
Tc 0.238 0.343 0.742  -0.04
Tc 0.494 0.402 0.266  -0.02
Tc 0.492 0.966 0.191  -0.01
Tc 0.744 0.355 0.751  -0.03
Pb 0.058 0.048 0.010  0.00
Pb 0.304 0.688 0.493  -0.01

(3)
Pa2AlCo3Si4 after structural relaxation, computed with PBE.

Summary:
E_form (uncorrected)	-715	meV/atom
space group	P-4m2 (115)

Unit cell a=3.933 b=3.933 c=9.856 alpha=90.00 beta=90.00 gamma=90.00
Element x y z (fractional)
Pa 0.000 0.500 0.762
Pa 0.500 0.000 0.238
Si 0.000 0.500 0.354
Si 0.000 0.000 0.000
Si 0.500 0.000 0.646
Si 0.500 0.500 0.000
Co 0.000 0.500 0.125
Co 0.500 0.000 0.875
Co 0.000 0.000 0.500
Al 0.500 0.500 0.500

(4)
Cs2BiAsCl6 after structural relaxation, computed with PBE.

Summary:
E_form (uncorrected)	-1125	meV/atom
space group	I4/mmm (139)

Unit cell a=7.720 b=7.720 c=7.788 alpha=60.29 beta=60.29 gamma=90.00
Element x y z (fractional)
Cl 0.258 0.742 0.000
Cl 0.742 0.258 0.000
Cl 0.742 0.742 0.000
Cl 0.747 0.747 0.507
Cl 0.258 0.258 0.000
Cl 0.253 0.253 0.493
Cs 0.250 0.750 0.500
Cs 0.750 0.250 0.500
Bi 0.000 0.000 0.000
As 0.500 0.500 0.000

(5)
Ca2BeRu after structural relaxation, computed with PBE.

Summary:
E_tot	-4.299	eV/atom
space group	Cm (8)

Unit cell a=3.958 b=3.958 c=7.720 alpha=75.31 beta=75.31 gamma=60.01
Element x y z (fractional)
Be 0.792 0.792 0.625
Ca 0.209 0.209 0.370
Ca 0.041 0.041 0.880
Ru 0.458 0.458 0.625

(6)
Hg3Mo2 after structural relaxation, computed with PBE.

Summary:
E_tot	-3.878	eV/atom
space group	R-3m (166)

Unit cell a=12.368 b=12.368 c=12.368 alpha=13.92 beta=13.92 gamma=13.92
Element x y z (fractional)
Mo 0.398 0.398 0.398
Mo 0.602 0.602 0.602
Hg 0.204 0.204 0.204
Hg 0.000 0.000 0.000
Hg 0.796 0.796 0.796

(7)
Pr2Zn4CdPd3 after structural relaxation, computed with PBE.

Summary:
E_tot	-3.636	eV/atom
space group	P-4m2 (115)

Unit cell a=4.063 b=4.063 c=12.139 alpha=90.00 beta=90.00 gamma=90.00
Element x y z (fractional)
Pr 0.000 0.500 0.766
Pr 0.500 0.000 0.234
Zn 0.000 0.000 0.000
Zn 0.500 0.000 0.646
Zn 0.500 0.500 0.000
Zn 0.000 0.500 0.354
Pd 0.500 0.000 0.860
Pd 0.000 0.000 0.500
Pd 0.000 0.500 0.140
Cd 0.500 0.500 0.500

(8)
MgAgS3 after structural relaxation, computed with PBE.

Summary:
E_form (uncorrected)	315	meV/atom
space group	Pm-3m (221)

Unit cell a=4.796 b=4.796 c=4.796 alpha=90.00 beta=90.00 gamma=90.00
Element x y z (fractional)
Ag 0.500 0.500 0.500
S 0.500 0.000 0.000
S 0.000 0.500 0.000
S 0.000 0.000 0.500
Mg 0.000 0.000 0.000